[1]
Entry from Alexandria: a relaxed YTm12Tl3 crystal (GGA-PBE).

The structure in extended XYZ format:
```
16
Lattice="-2.875 -1.470 -3.569 1.305 -4.559 0.827 -14.801 -1.930 12.717" Properties=species:S:1:pos:R:3 pbc="T T T"
Y 0.000 0.000 0.000
Tm -0.785 -3.014 -1.371
Tm -4.564 -3.507 1.875
Tm -8.186 -3.979 4.987
Tm -11.808 -4.452 8.100
Tm -3.363 -0.986 -0.130
Tm -7.025 -1.464 3.016
Tm -10.651 -1.937 6.132
Tm -14.313 -2.414 9.279
Tm -1.273 -2.530 2.067
Tm -4.935 -3.008 5.214
Tm -8.561 -3.481 8.330
Tm -12.223 -3.959 11.477
Tl -3.796 -0.495 3.261
Tl -7.400 -0.965 6.359
Tl -11.005 -1.435 9.456
```

Calculated values
formation energy from the elements: -0.11 eV/atom
D(E_F): 1.21 states/eV/atom
volume: 28.39 A^3/atom

=====

[2]
Entry from Alexandria: a relaxed Ca2TaTl crystal (GGA-PBE).

The structure in extended XYZ format:
```
4
Lattice="5.937 -0.004 0.000 2.463 5.402 0.000 -4.200 -2.699 3.213" Properties=species:S:1:pos:R:3 pbc="T T T"
Tl 2.969 -0.002 1.607
Ca 0.000 0.000 0.000
Ca 4.200 2.699 0.000
Ta 1.232 2.701 1.607
```

Calculated values
E above lowest polymorph: 155 meV/atom
formation energy from the elements: 0.50 eV/atom
D(E_F): 0.55 states/eV/atom
volume: 25.77 A^3/atom

=====

[3]
Entry from Alexandria: a relaxed Bi2B2Pt crystal (GGA-PBE).

The structure in extended XYZ format:
```
5
Lattice="-1.357 2.732 -0.870 -2.744 -1.517 -0.486 -4.345 2.106 7.607" Properties=species:S:1:pos:R:3 pbc="T T T"
B -3.876 2.723 3.030
B -4.569 0.599 3.222
Bi -2.587 0.959 1.262
Bi -5.858 2.363 4.990
Pt 0.000 0.000 0.000
```

Calculated values
E above lowest polymorph: 423 meV/atom
formation energy from the elements: 0.93 eV/atom
D(E_F): 0.46 states/eV/atom
volume: 17.56 A^3/atom

=====

[4]
Entry from Alexandria: a relaxed Na3ZnSb3Se8 crystal (GGA-PBE).

The structure in extended XYZ format:
```
15
Lattice="7.966 0.000 0.000 -3.983 6.899 -0.028 0.000 -4.572 7.330" Properties=species:S:1:pos:R:3 pbc="T T T"
Na 0.000 0.000 0.000
Na -1.991 3.449 -0.014
Na 1.991 3.449 -0.014
Zn 0.000 -2.286 3.665
Sb 3.983 -2.286 3.665
Sb 1.991 1.164 3.651
Sb -1.991 1.164 3.651
Se 0.000 2.307 1.968
Se 3.983 0.020 5.334
Se 3.983 2.437 2.084
Se 0.000 -0.110 5.217
Se 6.083 -1.207 2.100
Se -2.100 3.534 5.201
Se 1.883 -1.207 2.100
Se 2.100 3.534 5.201
```

Calculated values
ΔE_f (raw): -509 meV per atom
D(E_F): 0.59 states/eV/atom
volume: 26.79 A^3/atom

=====

Number 1: total moment 0.0 μB per cell. Number 2: total moment 1.9 μB per cell. Number 3: total moment 0.0 μB per cell. Number 4: total moment 0.0 μB per cell.